Entry 1:
This record from the Open Quantum Materials Database describes Cu7Ag3 after structural relaxation. The functional is PBE-GGA.

Cell and atoms, written as CIF:
```
data_Cu7Ag3
_chemical_formula_sum 'Cu7 Ag3'
_space_group_name_H-M_alt 'P 1'
_space_group_IT_number 1
_cell_length_a 7.270
_cell_length_b 7.270
_cell_length_c 7.279
_cell_angle_alpha 104.47
_cell_angle_beta 104.47
_cell_angle_gamma 21.62
loop_
_space_group_symop_operation_xyz
'x,y,z'
loop_
_atom_site_label
_atom_site_type_symbol
_atom_site_fract_x
_atom_site_fract_y
_atom_site_fract_z
Ag1 Ag 0.597 0.597 0.300
Ag2 Ag 0.599 0.599 0.798
Ag3 Ag 0.803 0.803 0.902
Cu1 Cu 0.207 0.207 0.116
Cu2 Cu 0.400 0.400 0.212
Cu3 Cu 0.803 0.803 0.401
Cu4 Cu 0.990 0.990 0.496
Cu5 Cu 0.208 0.208 0.591
Cu6 Cu 0.400 0.400 0.688
Cu7 Cu 0.993 0.993 0.996
```

E above lowest polymorph = 42 meV per atom
E_tot = -3.363 eV/atom
Volume = 13.71 Å³ per atom
Formation enthalpy at 0 K = 0.086 eV per atom



Entry 2:
This record from the Open Quantum Materials Database describes Dy5ThSb6 after structural relaxation. The functional is PBE-GGA.

Cell and atoms, written as CIF:
```
data_Dy5ThSb6
_chemical_formula_sum 'Dy5 Th1 Sb6'
_space_group_name_H-M_alt 'P 1'
_space_group_IT_number 1
_cell_length_a 7.630
_cell_length_b 7.630
_cell_length_c 7.637
_cell_angle_alpha 99.60
_cell_angle_beta 99.60
_cell_angle_gamma 119.98
loop_
_space_group_symop_operation_xyz
'x,y,z'
loop_
_atom_site_label
_atom_site_type_symbol
_atom_site_fract_x
_atom_site_fract_y
_atom_site_fract_z
Dy1 Dy 0.667 0.333 0.000
Dy2 Dy 0.333 0.667 0.000
Dy3 Dy 0.835 0.165 0.500
Dy4 Dy 0.500 0.500 0.500
Dy5 Dy 0.165 0.835 0.500
Sb1 Sb 0.746 0.746 0.251
Sb2 Sb 0.422 0.085 0.254
Sb3 Sb 0.085 0.422 0.254
Sb4 Sb 0.915 0.578 0.746
Sb5 Sb 0.578 0.915 0.746
Sb6 Sb 0.254 0.254 0.749
Th1 Th 0.000 0.000 0.000
```

E_tot = -5.703 eV/atom
Volume = 30.26 Å³ per atom



Q: Which of these has the lowest volume?
A: Cu7Ag3